Ce4Nd3SmSe8 | Alexandria via LeMat-Bulk | GGA-PBE | optimized geometry; ΔE_f (raw) = -29.34 eV/f.u.; space group = No. 166
1.0
-8.3595 0.8567 -0.2883
-0.1545 -4.0084 -7.4220
3.6291 -3.6429 6.6544
Ce Nd Sm Se
4 3 1 8
Cartesian
-4.1798 0.4284 -0.1441
-2.3652 -1.3931 3.1831
0.0000 0.0000 0.0000
1.8145 -1.8214 3.3272
-4.2570 -1.5758 -3.8551
-2.4425 -3.3973 -0.5279
1.7373 -3.8256 -0.3838
-0.0772 -2.0042 -3.7110
-2.1895 -2.7972 -5.6298
-0.3919 -4.6112 -2.3261
-0.3119 -2.5981 1.4071
-6.4017 -2.3666 -5.7784
1.5167 -4.4279 4.7226
-4.5730 -4.1964 -2.4630
-4.4930 -2.1833 1.2703
-2.6954 -3.9973 4.5740